[1]
YSb2Se: relaxed, PBE.

Calculated values
- formation energy without anion corrections (meV/atom) = -544
- DOS at the Fermi energy (states/eV/f.u.) = 1.99
- crystal system = orthorhombic
- total magnetization (μB/cell) = 0.00

The structure in CIF format:
```
data_YSb2Se
_chemical_formula_sum 'Y2 Sb4 Se2'
_cell_length_a 3.927
_cell_length_b 5.462
_cell_length_c 9.894
_cell_angle_alpha 90.00
_cell_angle_beta 90.00
_cell_angle_gamma 90.00
_symmetry_space_group_name_H-M 'I m m 2'
_symmetry_Int_Tables_number 44
loop_
_symmetry_equiv_pos_as_xyz
'x,y,z'
'-x,-y,z'
'-x,y,z'
'x,-y,z'
'x+1/2,y+1/2,z+1/2'
'-x+1/2,-y+1/2,z+1/2'
'-x+1/2,y+1/2,z+1/2'
'x+1/2,-y+1/2,z+1/2'
loop_
_atom_site_label
_atom_site_fract_x
_atom_site_fract_y
_atom_site_fract_z
Y1 0.000 0.000 0.000
Sb1 0.000 0.000 0.529
Sb2 0.000 0.500 0.811
Se1 0.000 0.500 0.281
```


[2]
YSb2Se: relaxed, PBE.

Calculated values
- formation energy without anion corrections (meV/atom) = -650
- DOS at the Fermi energy (states/eV/f.u.) = 2.87
- crystal system = tetragonal
- total magnetization (μB/cell) = 0.00

The structure in CIF format:
```
data_YSb2Se
_chemical_formula_sum 'Y1 Sb2 Se1'
_cell_length_a 4.169
_cell_length_b 4.169
_cell_length_c 6.183
_cell_angle_alpha 90.00
_cell_angle_beta 90.00
_cell_angle_gamma 90.00
_symmetry_space_group_name_H-M 'P 4/m m m'
_symmetry_Int_Tables_number 123
_symmetry_space_group_name_Hall '-P 4 2'
loop_
_atom_site_label
_atom_site_fract_x
_atom_site_fract_y
_atom_site_fract_z
Y1 0.000 0.000 0.000
Sb1 0.000 0.500 0.500
Se1 0.500 0.500 0.000
```


[3]
YSb2Se: relaxed, PBE.

Calculated values
- formation energy without anion corrections (meV/atom) = -544
- DOS at the Fermi energy (states/eV/f.u.) = 2.04
- crystal system = monoclinic
- total magnetization (μB/cell) = 0.00

The structure in CIF format:
```
data_YSb2Se
_chemical_formula_sum 'Y1 Sb2 Se1'
_cell_length_a 4.288
_cell_length_b 4.256
_cell_length_c 5.894
_cell_angle_alpha 90.00
_cell_angle_beta 97.03
_cell_angle_gamma 90.00
_symmetry_space_group_name_H-M 'P 1 2/m 1'
_symmetry_Int_Tables_number 10
loop_
_symmetry_equiv_pos_as_xyz
'x,y,z'
'-x,-y,-z'
'-x,y,-z'
'x,-y,z'
loop_
_atom_site_label
_atom_site_fract_x
_atom_site_fract_y
_atom_site_fract_z
Y1 0.000 0.000 0.000
Sb1 0.440 0.500 0.754
Se1 0.000 0.000 0.500
```


[4]
YSb3Se: relaxed, PBE.

Calculated values
- formation energy without anion corrections (meV/atom) = 566
- DOS at the Fermi energy (states/eV/f.u.) = 5.46
- crystal system = cubic
- E above lowest polymorph (kcal/mol of atoms) = 9.60
- total magnetization (μB/cell) = 1.54

The structure in CIF format:
```
data_YSb3Se
_chemical_formula_sum 'Y1 Sb3 Se1'
_cell_length_a 5.759
_cell_length_b 5.759
_cell_length_c 5.759
_cell_angle_alpha 90.00
_cell_angle_beta 90.00
_cell_angle_gamma 90.00
_symmetry_space_group_name_H-M 'P m -3 m'
_symmetry_Int_Tables_number 221
_symmetry_space_group_name_Hall '-P 4 2 3'
loop_
_atom_site_label
_atom_site_fract_x
_atom_site_fract_y
_atom_site_fract_z
Y1 0.000 0.000 0.000
Sb1 0.000 0.000 0.500
Se1 0.500 0.500 0.500
```